# 1
Here is a geometry-optimized Tb4GaPb structure from Alexandria via LeMat-Bulk. Energies are from PBE.

Computed properties:
As for the calculated formation energy: -246 meV per atom. As for the space group: No. 123.

Cell: 5.0793 5.0794 7.2537 Å, 89.98 90.00 90.00°
Element x y z (fractional)
Ga (0.0014, 0.9971, 0.4981)
Pb (0.5013, 0.4973, 0.9982)
Tb (0.5013, 0.9975, 0.7300)
Tb (0.5013, 0.9972, 0.2663)
Tb (0.0013, 0.4974, 0.7300)
Tb (0.0012, 0.4972, 0.2663)



# 2
Here is a geometry-optimized LaYPu2As4 structure from Alexandria via LeMat-Bulk. Energies are from PBE.

Computed properties:
As for the calculated formation energy: -1245 meV per atom. As for the space group: No. 10.

Cell: 4.2034 7.2697 7.2503 Å, 109.53 90.00 90.00°
Site moments in Bohr magnetons follow the coordinates.
Element x y z (fractional)
As (0.5000, 0.2463, 0.2565)  -0.03
As (0.0000, 0.7616, 0.2613)  0.04
As (0.5000, 0.7537, 0.7435)  -0.03
As (0.0000, 0.2384, 0.7387)  0.04
La (0.5000, 0.5000, 0.0000)  0.02
Pu (0.5000, 0.0000, 0.5000)  -4.99
Pu (0.0000, 0.5000, 0.5000)  5.08
Y (0.0000, 0.0000, 0.0000)  -0.02



# 3
Here is a geometry-optimized La2In8Co structure from Alexandria via LeMat-Bulk. Energies are from PBE.

Computed properties:
As for the calculated formation energy: -352 meV per atom. As for the space group: No. 123.

Cell: 4.7023 4.7023 12.4916 Å, 90.00 90.00 90.00°
Element x y z (fractional)
In (0.0000, 0.5000, 0.5000)
In (0.5000, 0.0000, 0.1151)
In (0.0000, 0.5000, 0.8849)
In (0.5000, 0.0000, 0.8849)
In (0.0000, 0.5000, 0.1151)
In (0.5000, 0.0000, 0.5000)
In (0.5000, 0.5000, 0.6932)
In (0.5000, 0.5000, 0.3068)
La (0.0000, 0.0000, 0.6960)
La (0.0000, 0.0000, 0.3040)
Co (0.0000, 0.0000, 0.0000)



# 4
Here is a geometry-optimized LaMg2Cu structure from Alexandria via LeMat-Bulk. Energies are from PBE.

Computed properties:
As for the calculated formation energy: 242 meV per atom. As for the space group: No. 65.

Cell: 5.7146 5.7146 3.3413 Å, 90.00 90.00 114.26°
Element x y z (fractional)
Cu (0.5000, 0.0000, 0.5000)
Mg (0.5000, 0.5000, 0.0000)
Mg (0.0000, 0.0000, 0.0000)
La (0.0000, 0.5000, 0.5000)



# 5
Here is a geometry-optimized Ac2WN7 structure from Alexandria via LeMat-Bulk. Energies are from PBE.

Computed properties:
As for the space group: No. 225. The uncorrected formation energy comes out at 0.4436 eV per atom.

Cell: 5.6538 5.6538 5.6538 Å, 60.00 60.00 60.00°
Element x y z (fractional)
N (0.7490, 0.2510, 0.7490)
N (0.5000, 0.5000, 0.5000)
N (0.2510, 0.7490, 0.2510)
N (0.2510, 0.2510, 0.7490)
N (0.7490, 0.7490, 0.2510)
N (0.7490, 0.2510, 0.2510)
N (0.2510, 0.7490, 0.7490)
Ac (0.2500, 0.2500, 0.2500)
Ac (0.7500, 0.7500, 0.7500)
W (0.0000, 0.0000, 0.0000)



# 6
Here is a geometry-optimized ScRe2Sb structure from Alexandria via LeMat-Bulk. Energies are from PBE.

Computed properties:
As for the space group: No. 6. The uncorrected formation energy comes out at 0.1071 eV per atom.

Cell: 4.4666 3.0761 5.3290 Å, 77.22 90.00 90.00°
Element x y z (fractional)
Sb (0.0000, 0.3562, 0.5107)
Re (0.5000, 0.3340, 0.2082)
Re (0.0000, 0.0288, 0.0444)
Sc (0.5000, 0.7810, 0.7368)



# 7
Here is a geometry-optimized Ce7InRh2 structure from Alexandria via LeMat-Bulk. Energies are from PBE.

Computed properties:
As for the calculated formation energy: -122 meV per atom. As for the space group: No. 65.

Cell: 5.2877 7.9562 7.9562 Å, 113.34 90.00 90.00°
Site moments in Bohr magnetons follow the coordinates.
Element x y z (fractional)
Ce (0.0000, 0.2804, 0.7196)  0.77
Ce (0.5000, 0.2756, 0.0538)  0.66
Ce (0.0000, 0.7196, 0.2804)  0.77
Ce (0.5000, 0.9462, 0.7244)  0.66
Ce (0.5000, 0.0538, 0.2756)  0.66
Ce (0.5000, 0.5000, 0.5000)  0.60
Ce (0.5000, 0.7244, 0.9462)  0.66
Rh (0.5000, 0.6907, 0.3093)  -0.06
Rh (0.5000, 0.3093, 0.6907)  -0.06
In (0.0000, 0.0000, 0.0000)  -0.02



# 8
Here is a geometry-optimized MgFeBr structure from Alexandria via LeMat-Bulk. Energies are from PBE.

Computed properties:
The energy above the most stable polymorph in this dataset is 0.000 eV per atom. As for the space group: No. 156. The uncorrected formation energy comes out at 0.0694 eV per atom.

Cell: 3.3785 3.3785 6.0099 Å, 90.00 90.00 120.00°
Site moments in Bohr magnetons follow the coordinates.
Element x y z (fractional)
Mg (0.3333, 0.6667, 0.6450)  -0.02
Fe (0.6667, 0.3333, 0.3246)  2.95
Br (0.0000, 0.0000, 0.0304)  0.07



# 9
Here is a geometry-optimized Tb2Dy3Sc3 structure from Alexandria via LeMat-Bulk. Energies are from PBE.

Computed properties:
As for the calculated formation energy: 28 meV per atom. The energy above the most stable polymorph in this dataset is 0.000 eV per atom. As for the space group: No. 12.

Cell: 3.4754 5.9608 11.6300 Å, 75.44 81.41 90.00°
Element x y z (fractional)
Dy (0.6228, 0.9631, 0.7545)
Dy (0.5000, 0.5000, 0.0000)
Dy (0.3772, 0.0369, 0.2455)
Sc (0.1231, 0.4574, 0.7538)
Sc (0.0000, 0.0000, 0.0000)
Sc (0.8769, 0.5426, 0.2462)
Tb (0.7468, 0.7430, 0.5063)
Tb (0.2532, 0.2570, 0.4937)



# 10
Here is a geometry-optimized MnRe2Ru structure from Alexandria via LeMat-Bulk. Energies are from PBE.

Computed properties:
As for the calculated formation energy: 82 meV per atom. The energy above the most stable polymorph in this dataset is 0.077 eV per atom. As for the space group: No. 10.

Cell: 2.7188 4.6757 5.4100 Å, 54.77 90.00 90.00°
Site moments in Bohr magnetons follow the coordinates.
Element x y z (fractional)
Mn (0.0000, 0.0000, 0.5000)  1.81
Re (0.5000, 0.5000, 0.0000)  -0.22
Re (0.0000, 0.0000, 0.0000)  -0.06
Ru (0.5000, 0.5000, 0.5000)  -0.24



# 11
Here is a geometry-optimized NdHo3Pd2 structure from Alexandria via LeMat-Bulk. Energies are from PBE.

Computed properties:
As for the calculated formation energy: -581 meV per atom. As for the space group: No. 123.

Cell: 3.5511 3.5511 12.0254 Å, 90.00 90.00 90.00°
Element x y z (fractional)
Ho (0.0000, 0.0000, 0.7196)
Ho (0.0000, 0.0000, 0.0000)
Ho (0.0000, 0.0000, 0.2804)
Nd (0.5000, 0.5000, 0.5000)
Pd (0.5000, 0.5000, 0.8574)
Pd (0.5000, 0.5000, 0.1426)



# 12
Here is a geometry-optimized Sm5TlAg4 structure from Alexandria via LeMat-Bulk. Energies are from PBE.

Computed properties:
As for the calculated formation energy: -294 meV per atom. As for the space group: No. 123.

Cell: 3.7014 3.7014 19.1244 Å, 90.00 90.00 90.00°
Site moments in Bohr magnetons follow the coordinates.
Element x y z (fractional)
Ag (0.0000, 0.0000, 0.2076)  0.01
Ag (0.0000, 0.0000, 0.5975)  0.00
Ag (0.0000, 0.0000, 0.7924)  0.01
Ag (0.0000, 0.0000, 0.4025)  0.00
Sm (0.5000, 0.5000, 0.8911)  0.09
Sm (0.5000, 0.5000, 0.1089)  0.09
Sm (0.5000, 0.5000, 0.3043)  0.01
Sm (0.5000, 0.5000, 0.5000)  0.01
Sm (0.5000, 0.5000, 0.6957)  0.01
Tl (0.0000, 0.0000, 0.0000)  0.00



# 13
Here is a geometry-optimized CsAc2Br8 structure from Alexandria via LeMat-Bulk. Energies are from PBE.

Computed properties:
As for the space group: No. 12. The uncorrected formation energy comes out at -1.8267 eV per atom.

Cell: 5.9139 8.9848 8.9848 Å, 64.26 89.95 89.95°
Element x y z (fractional)
Cs (0.0000, 0.0000, 0.0000)
Br (0.9996, 0.7431, 0.7431)
Br (0.4989, 0.6753, 0.0576)
Br (0.4989, 0.0576, 0.6753)
Br (0.7532, 0.4999, 0.4999)
Br (0.2468, 0.5001, 0.5001)
Br (0.0004, 0.2569, 0.2569)
Br (0.5011, 0.9424, 0.3247)
Br (0.5011, 0.3247, 0.9424)
Ac (0.4997, 0.6973, 0.6973)
Ac (0.5003, 0.3027, 0.3027)



# 14
Here is a geometry-optimized AcPm12Ir4 structure from Alexandria via LeMat-Bulk. Energies are from PBE.

Computed properties:
As for the calculated formation energy: -274 meV per atom. As for the space group: No. 204.

Cell: 9.0776 9.0776 9.0776 Å, 109.47 109.47 109.47°
Element x y z (fractional)
Pm (0.8577, 0.1758, 0.6819)
Pm (0.3181, 0.1423, 0.8242)
Pm (0.1423, 0.8242, 0.3181)
Pm (0.3181, 0.4939, 0.1758)
Pm (0.8242, 0.3181, 0.1423)
Pm (0.6819, 0.5061, 0.8242)
Pm (0.1758, 0.6819, 0.8577)
Pm (0.6819, 0.8577, 0.1758)
Pm (0.1758, 0.3181, 0.4939)
Pm (0.8242, 0.6819, 0.5061)
Pm (0.4939, 0.1758, 0.3181)
Pm (0.5061, 0.8242, 0.6819)
Ac (0.0000, 0.0000, 0.0000)
Ir (0.5000, 0.0000, 0.0000)
Ir (0.0000, 0.0000, 0.5000)
Ir (0.5000, 0.5000, 0.5000)
Ir (0.0000, 0.5000, 0.0000)



# 15
Here is a geometry-optimized Tl2HgAs structure from Alexandria via LeMat-Bulk. Energies are from PBE.

Computed properties:
As for the calculated formation energy: 69 meV per atom. The energy above the most stable polymorph in this dataset is 0.027 eV per atom. As for the space group: No. 225.

Cell: 5.3680 5.3680 5.3680 Å, 60.00 60.00 60.00°
Element x y z (fractional)
Tl (0.7500, 0.7500, 0.7500)
Tl (0.2500, 0.2500, 0.2500)
As (0.0000, 0.0000, 0.0000)
Hg (0.5000, 0.5000, 0.5000)



# 16
Here is a geometry-optimized LiSbTe2Pb structure from Alexandria via LeMat-Bulk. Energies are from PBE.

Computed properties:
The energy above the most stable polymorph in this dataset is 0.338 eV per atom. As for the space group: No. 123. The uncorrected formation energy comes out at 0.4177 eV per atom.

Cell: 5.9797 5.9797 5.8318 Å, 90.00 90.00 90.00°
Site moments in Bohr magnetons follow the coordinates.
Element x y z (fractional)
Sb (0.0000, 0.0000, 0.5000)  0.32
Li (0.5000, 0.5000, 0.5000)  0.00
Te (0.0000, 0.5000, 0.0000)  0.06
Te (0.5000, 0.0000, 0.0000)  0.06
Pb (0.0000, 0.0000, 0.0000)  0.01



# 17
Here is a geometry-optimized K2MnPb structure from Alexandria via LeMat-Bulk. Energies are from PBE.

Computed properties:
As for the calculated formation energy: 297 meV per atom. As for the space group: No. 44.

Cell: 6.4538 6.4538 6.4538 Å, 135.60 122.25 75.64°
Site moments in Bohr magnetons follow the coordinates.
Element x y z (fractional)
K (0.0316, 0.0316, 0.0000)  0.00
K (0.7231, 0.2231, 0.5000)  0.01
Pb (0.3147, 0.8147, 0.5000)  -0.05
Mn (0.4307, 0.4307, 0.0000)  4.13



# 18
Here is a geometry-optimized MgCd2Fe structure from Alexandria via LeMat-Bulk. Energies are from PBE.

Computed properties:
As for the calculated formation energy: 236 meV per atom. As for the space group: No. 119.

Cell: 5.1827 5.1827 5.1827 Å, 132.99 132.99 68.67°
Site moments in Bohr magnetons follow the coordinates.
Element x y z (fractional)
Cd (0.2500, 0.7500, 0.5000)  -0.04
Cd (0.0000, 0.0000, 0.0000)  -0.05
Mg (0.7500, 0.2500, 0.5000)  -0.02
Fe (0.5000, 0.5000, 0.0000)  2.50



# 19
Here is a geometry-optimized CeSmPa4 structure from Alexandria via LeMat-Bulk. Energies are from PBE.

Computed properties:
As for the calculated formation energy: 211 meV per atom. As for the space group: No. 216.

Cell: 6.1211 6.1211 6.1211 Å, 60.00 60.00 60.00°
Element x y z (fractional)
Ce (0.0000, 0.0000, 0.0000)
Sm (0.2500, 0.2500, 0.2500)
Pa (0.6247, 0.6247, 0.1260)
Pa (0.6247, 0.1260, 0.6247)
Pa (0.6247, 0.6247, 0.6247)
Pa (0.1260, 0.6247, 0.6247)



# 20
Here is a geometry-optimized Nd2CuRh3 structure from Alexandria via LeMat-Bulk. Energies are from PBE.

Computed properties:
As for the calculated formation energy: -565 meV per atom. As for the space group: No. 166.

Cell: 5.5295 5.5295 5.2674 Å, 90.05 121.61 120.00°
Element x y z (fractional)
Rh (0.0000, 0.0000, 0.5000)
Rh (0.5000, 0.5000, 0.5000)
Rh (0.5000, 0.0000, 0.5000)
Nd (0.2547, 0.6272, 0.8819)
Nd (0.7453, 0.3728, 0.1181)
Cu (0.0000, 0.0000, 0.0000)